A relaxed La23Cd4Ni7 crystal, computed with PBE-GGA.

## Properties
D(E_F)   1.129 states/eV/atom
Formation energy   -0.2533 eV per atom
Total moment   0.00 μB/cell
Energy   -332.145 eV for the cell shown

Lattice parameters (Å, degrees): 10.0737 10.0737 22.8240 90.00 90.00 120.00
Closest atoms and distances in Å follow each position.
Space group P6_3mc (No. 186)
Unique sites:
La  0.0000  0.0000  0.0483 [2 per cell]  3 Ni 2.93
La  0.0786  0.5393  0.1394 [6 per cell]  3 Ni 2.97-3.09
La  0.0824  0.5412  0.4075 [6 per cell]  2 Ni 3.37-3.63, 2 Cd 3.45, 2 La 3.58
La  0.1269  0.2537  0.6847 [6 per cell]  2 Ni 2.85
La  0.2021  0.4042  0.8356 [6 per cell]  3 Ni 2.90-2.94
La  0.2057  0.4115  0.0000 [6 per cell]  2 Ni 2.85-2.93
La  0.2056  0.4112  0.2725 [6 per cell]  2 Ni 2.88
La  0.2121  0.4242  0.5452 [6 per cell]  1 Cd 3.49, 10 La 3.51-3.81, 2 Ni 3.64
La  0.3333  0.6667  0.7004 [2 per cell]  3 Ni 2.99
Cd  0.0000  0.0000  0.3005 [2 per cell]  3 Cd 3.22, 3 La 3.45
Cd  0.1058  0.2117  0.4158 [6 per cell]  3 Cd 3.20-3.22, 6 La 3.45-3.56
Ni  0.0384  0.5192  0.7672 [6 per cell]  6 La 2.88-3.09
Ni  0.1435  0.2871  0.1153 [6 per cell]  6 La 2.85-2.97
Ni  0.3333  0.6667  0.9164 [2 per cell]  6 La 2.93-2.94